Material: SrGePb2F
Method: DFT, PBE
State: optimized geometry

Output
Total moment ... 0.0 μB/f.u.
Total energy ... -2.49 eV/atom
Crystal system ... tetragonal

The structure in CIF format:
```
data_SrGePb2F
_chemical_formula_sum 'Sr1 Ge1 Pb2 F1'
_space_group_name_H-M_alt 'P 4/m m m'
_space_group_IT_number 123
_space_group_name_Hall '-P 4 2'
_cell_length_a 6.383
_cell_length_b 6.383
_cell_length_c 5.499
_cell_angle_alpha 90.00
_cell_angle_beta 90.00
_cell_angle_gamma 90.00
loop_
_atom_site_label
_atom_site_type_symbol
_atom_site_fract_x
_atom_site_fract_y
_atom_site_fract_z
Sr1 Sr 0.000 0.000 0.000
Ge1 Ge 0.000 0.000 0.500
Pb1 Pb 0.000 0.500 0.000
F1 F 0.500 0.500 0.500
```

Material: SnGePt3
Method: DFT, PBE
State: optimized geometry

Output
Total moment ... 0.0 μB/f.u.
Calculated formation energy ... -382 meV/atom
Crystal system ... monoclinic
Distance to the lowest polymorph of the same formula ... 0 meV/atom

The structure in CIF format:
```
data_SnGePt3
_chemical_formula_sum 'Sn4 Ge4 Pt12'
_space_group_name_H-M_alt 'C 1 2/m 1'
_space_group_IT_number 12
_space_group_name_Hall '-C 2y'
_cell_length_a 10.522
_cell_length_b 5.641
_cell_length_c 6.394
_cell_angle_alpha 90.00
_cell_angle_beta 110.00
_cell_angle_gamma 90.00
loop_
_atom_site_label
_atom_site_type_symbol
_atom_site_fract_x
_atom_site_fract_y
_atom_site_fract_z
Sn1 Sn 0.054 0.000 0.259
Ge1 Ge 0.188 0.500 0.006
Pt1 Pt 0.051 0.500 0.255
Pt2 Pt 0.180 0.254 0.668
```

Material: RbSrO2F
Method: DFT, PBE
State: optimized geometry

Output
Total moment ... 2.0 μB/f.u.
Total energy ... -4.61 eV/atom
Crystal system ... tetragonal

The structure in CIF format:
```
data_RbSrO2F
_chemical_formula_sum 'Rb1 Sr1 O2 F1'
_space_group_name_H-M_alt 'P 4/m m m'
_space_group_IT_number 123
_space_group_name_Hall '-P 4 2'
_cell_length_a 4.767
_cell_length_b 4.767
_cell_length_c 4.841
_cell_angle_alpha 90.00
_cell_angle_beta 90.00
_cell_angle_gamma 90.00
loop_
_atom_site_label
_atom_site_type_symbol
_atom_site_fract_x
_atom_site_fract_y
_atom_site_fract_z
Rb1 Rb 0.000 0.000 0.000
Sr1 Sr 0.500 0.500 0.500
O1 O 0.000 0.500 0.500
F1 F 0.500 0.500 0.000
```